[1]
Material: Rb3FeSe3
Method: DFT, PBE
State: optimized geometry

Cell: 8.341 13.404 10.807 Å, 90.00 127.39 90.00°
Space group P2_1/c (No. 14)
Asymmetric unit:
Rb1 0.117 0.132 0.482 (multiplicity 4)
Rb2 0.146 0.074 0.894 (multiplicity 4)
Rb3 0.371 0.694 0.583 (multiplicity 4)
Fe1 0.440 0.055 0.352 (multiplicity 4)
Se1 0.155 0.165 0.197 (multiplicity 4)
Se2 0.357 0.610 0.880 (multiplicity 4)
Se3 0.381 0.550 0.254 (multiplicity 4)

Values from the calculation:
- Density: 3.8 Mg/m³
- Energy above the lowest structure with this stoichiometry: 4 meV per atom



[2]
Material: Gd2GaCu2Si
Method: DFT, PBE
State: optimized geometry

Cell: 4.2493 4.2493 7.4383 Å, 90.00 90.00 120.00°
Space group P-6m2 (No. 187)
Asymmetric unit:
Gd1 0.0000 0.0000 0.2504 (multiplicity 2)
Ga1 0.3333 0.6667 0.0000 (multiplicity 1)
Cu1 0.3333 0.6667 0.5000 (multiplicity 1)
Cu2 0.6667 0.3333 0.0000 (multiplicity 1)
Si1 0.6667 0.3333 0.5000 (multiplicity 1)

Values from the calculation:
- Density: 7.7 Mg/m³
- VASP energy: -4.76 eV/atom



[3]
Material: DyErNi2B2C2
Method: DFT, PBE
State: optimized geometry

Cell: 3.571 3.571 7.535 Å, 90.00 90.00 90.00°
Space group P4mm (No. 99)
Asymmetric unit:
Dy1 0.000 0.000 0.000 (multiplicity 1)
Er1 0.500 0.500 0.669 (multiplicity 1)
Ni1 0.000 0.500 0.335 (multiplicity 2)
B1 0.000 0.000 0.481 (multiplicity 1)
B2 0.500 0.500 0.187 (multiplicity 1)
C1 0.000 0.000 0.679 (multiplicity 1)
C2 0.500 0.500 0.989 (multiplicity 1)

Values from the calculation:
- Density: 8.5 Mg/m³
- VASP energy: -7.05 eV/atom



- The highest density belongs to which entry?
  DyErNi2B2C2